(1)
Computed, not measured: a relaxed structure of Np5C at the PBE level of DFT.

DFT formation energy: 364 meV per atom

Structure (extended XYZ):
```
6
Lattice="1.698 -8.174 0.000 1.698 8.174 0.000 0.000 0.000 3.500" Properties=species:S:1:pos:R:3 pbc="T T T"
Np 0.000 0.000 0.000
Np 1.698 6.131 1.750
Np 1.698 3.119 0.000
Np 1.698 -3.119 0.000
Np 1.698 -6.131 1.750
C 1.698 0.000 1.750
```

(2)
Computed, not measured: a relaxed structure of RbNaSn2 at the PBE level of DFT.

DFT formation energy: 93 meV per atom
D(E_F): 0.04 states/eV/atom

Structure (extended XYZ):
```
4
Lattice="0.000 4.038 4.038 4.038 0.000 4.038 4.038 4.038 0.000" Properties=species:S:1:pos:R:3 pbc="T T T"
Rb 0.000 0.000 0.000
Na 4.038 4.038 4.038
Sn 2.019 2.019 2.019
Sn 6.057 6.057 6.057
```

(3)
Computed, not measured: a relaxed structure of CsSrF3 at the PBE level of DFT.

Formation energy without anion corrections: -3.23 eV per atom
D(E_F): 0.00 states/eV/atom

Structure (extended XYZ):
```
10
Lattice="4.644 0.000 0.000 -2.322 4.022 0.000 0.000 0.000 10.467" Properties=species:S:1:pos:R:3 pbc="T T T"
Cs 0.000 2.681 2.617
Cs 2.322 1.341 7.851
Sr 0.000 0.000 0.000
Sr 0.000 0.000 5.234
F 0.000 0.000 2.617
F 0.000 0.000 7.851
F 0.000 2.681 5.722
F 0.000 2.681 9.979
F 2.322 1.341 0.488
F 2.322 1.341 4.745
```

(4)
Computed, not measured: a relaxed structure of ZrSi3 at the PBE level of DFT.

Formation energy without anion corrections: -0.22 eV per atom
D(E_F): 0.55 states/eV/atom

Structure (extended XYZ):
```
8
Lattice="4.301 -3.294 0.000 4.301 3.294 0.000 0.000 0.000 4.713" Properties=species:S:1:pos:R:3 pbc="T T T"
Zr 4.301 2.124 3.534
Zr 4.301 -2.124 1.178
Si 1.765 1.047 3.534
Si 1.765 -1.047 1.178
Si 4.301 0.569 1.178
Si 4.301 -0.569 3.534
Si 6.837 1.047 3.534
Si 6.837 -1.047 1.178
```